# 1
First-principles (GGA-PBE) data for crystalline Er4TlPd3 at its relaxed geometry, as listed in the Alexandria database.

Its formation energy is -5.9 eV per formula unit.

Structure (extended XYZ):
```
16
Lattice="5.014 0.000 0.000 0.000 7.141 0.000 0.000 0.000 10.029" Properties=species:S:1:pos:R:3 pbc="T T T"
Tl 0.000 3.570 0.000
Tl 0.000 3.570 5.014
Pd 0.000 0.000 0.000
Pd 0.000 0.000 5.014
Pd 2.514 0.000 7.521
Pd 2.500 0.000 2.507
Pd 2.515 3.570 7.521
Pd 2.500 3.570 2.507
Er 2.507 5.451 0.000
Er 2.507 5.451 5.014
Er 2.507 1.689 0.000
Er 2.507 1.689 5.014
Er 0.004 5.452 7.521
Er 5.011 5.452 2.507
Er 5.011 1.689 2.507
Er 0.004 1.689 7.521
```

# 2
First-principles (GGA-PBE) data for crystalline Er3Tl2Pd at its relaxed geometry, as listed in the Alexandria database.

Its formation energy is -2.3 eV per formula unit. The value obtained for the energy above the most stable polymorph in this dataset is 0.1274 eV per atom.

Structure (extended XYZ):
```
12
Lattice="7.770 0.000 -0.592 3.885 5.465 -0.296 1.958 0.000 7.609" Properties=species:S:1:pos:R:3 pbc="T T T"
Er 7.532 3.566 5.378
Er 2.863 0.000 1.128
Er 6.081 1.898 1.342
Er 9.966 3.566 1.046
Er 3.647 1.898 5.675
Er 6.865 0.000 5.889
Tl 0.000 0.000 0.000
Tl 4.864 0.000 3.509
Tl 4.864 3.932 3.509
Tl 8.749 1.533 3.212
Pd 7.770 3.123 -0.592
Pd 3.885 2.342 -0.296
```

# 3
First-principles (GGA-PBE) data for crystalline Er7TlPd4 at its relaxed geometry, as listed in the Alexandria database.

Its formation energy is -5.5 eV per formula unit.

Structure (extended XYZ):
```
12
Lattice="-5.070 -1.897 -1.360 -3.513 -3.670 6.761 -5.365 4.560 2.187" Properties=species:S:1:pos:R:3 pbc="T T T"
Er -9.993 -2.271 6.060
Er -3.955 1.265 1.527
Er -3.811 -1.349 4.634
Er -10.137 0.342 2.953
Er -7.786 0.461 5.477
Er -2.535 -0.948 -0.680
Er -6.162 -1.467 2.110
Tl 0.000 0.000 0.000
Pd -7.120 1.033 2.193
Pd -6.829 -2.040 5.394
Pd -10.902 0.521 5.554
Pd -3.046 -1.528 2.033
```

# 4
First-principles (GGA-PBE) data for crystalline ErTlPd at its relaxed geometry, as listed in the Alexandria database.

Its formation energy is -1.7 eV per formula unit. The value obtained for the energy above the most stable polymorph in this dataset is 0.0692 eV per atom.

Structure (extended XYZ):
```
6
Lattice="4.996 -0.001 0.000 -2.497 4.327 0.000 0.000 0.000 6.171" Properties=species:S:1:pos:R:3 pbc="T T T"
Er 1.248 3.606 4.628
Er 1.251 0.720 1.543
Tl -1.249 2.164 3.086
Tl -1.249 2.164 0.000
Pd 1.248 0.721 4.628
Pd 1.251 3.605 1.543
```

# 5
First-principles (GGA-PBE) data for crystalline Er5TlPd4 at its relaxed geometry, as listed in the Alexandria database.

Its formation energy is -8.0 eV per formula unit.

Structure (extended XYZ):
```
10
Lattice="-2.539 -2.447 -0.268 0.672 -1.060 3.306 -11.885 11.657 6.156" Properties=species:S:1:pos:R:3 pbc="T T T"
Er -2.337 -0.377 2.246
Er -4.596 1.839 3.416
Er -6.876 4.075 4.597
Er -9.156 6.312 5.778
Er -11.415 8.527 6.948
Tl 0.000 0.000 0.000
Pd -2.506 2.458 1.298
Pd -4.808 4.715 2.490
Pd -7.078 6.942 3.666
Pd -9.380 9.200 4.858
```

# 6
First-principles (GGA-PBE) data for crystalline Er4Tl3Pd at its relaxed geometry, as listed in the Alexandria database.

Its formation energy is -3.4 eV per formula unit. The value obtained for the energy above the most stable polymorph in this dataset is 0.0447 eV per atom.

Structure (extended XYZ):
```
8
Lattice="-1.648 -2.820 -1.932 1.462 -3.142 3.339 -9.748 1.688 5.854" Properties=species:S:1:pos:R:3 pbc="T T T"
Er -3.307 -2.425 2.634
Er -7.855 -0.084 6.826
Er -1.354 0.234 0.813
Er -7.168 -0.312 2.844
Tl -5.034 -0.573 5.132
Tl -3.993 0.691 2.398
Tl -9.751 0.135 4.395
Pd -0.903 -2.841 1.190
```

# 7
First-principles (GGA-PBE) data for crystalline ErTlPd at its relaxed geometry, as listed in the Alexandria database.

Its formation energy is -1.6 eV per formula unit. The value obtained for the energy above the most stable polymorph in this dataset is 0.1034 eV per atom.

Structure (extended XYZ):
```
6
Lattice="4.464 0.000 -0.384 0.000 4.889 0.000 -1.707 0.000 6.335" Properties=species:S:1:pos:R:3 pbc="T T T"
Pd 0.278 1.222 3.191
Pd 2.480 3.666 2.760
Er 2.352 1.222 1.191
Er 0.406 3.666 4.760
Tl 2.660 1.222 4.790
Tl 0.098 3.666 1.161
```

# 8
First-principles (GGA-PBE) data for crystalline Er2Tl2Pd5 at its relaxed geometry, as listed in the Alexandria database.

Its formation energy is -4.3 eV per formula unit.

Structure (extended XYZ):
```
18
Lattice="-3.991 3.176 -2.012 -3.487 0.952 8.418 7.820 3.720 -2.166" Properties=species:S:1:pos:R:3 pbc="T T T"
Er -0.842 1.910 5.067
Er 0.732 6.061 0.264
Er -1.298 3.184 -0.251
Er 1.188 4.787 5.582
Tl -0.186 0.051 0.449
Tl -3.925 2.115 3.651
Tl 1.640 3.075 1.074
Tl -1.817 4.914 4.419
Pd 3.596 4.788 4.020
Pd -5.404 3.646 5.406
Pd 5.415 4.253 -0.151
Pd -3.735 3.230 1.159
Pd -2.579 3.302 6.730
Pd 0.691 5.154 2.890
Pd -0.909 2.886 2.484
Pd 2.509 4.619 -1.281
Pd -2.079 5.581 1.729
Pd 3.654 1.930 -0.468
```